[1]
Density functional theory data (PBE) for a geometry-optimized Si2TcBr structure.

Unit cell a=3.0702 b=3.0702 c=7.3573 alpha=90.00 beta=90.00 gamma=90.00
With the nearest neighbours (Å) after each atom.
Space group P4/mmm (No. 123)
One atom of each set of equivalent atoms:
1 Si 0.0000 0.0000 0.1833 [2 per cell]  4 Tc 2.56, 1 Si 2.70
2 Tc 0.5000 0.5000 0.0000 [1 per cell]  8 Si 2.56
3 Br 0.5000 0.5000 0.5000 [1 per cell]  4 Br 3.07, 8 Si 3.18

## Properties
formation energy (no corrections)	186	meV per atom
spin magnetization	0.00	μB/f.u.
D(E_F)	0.58	states/eV/atom
electronic total energy	-0.407	Ry per atom
volume	69.3	Å³/f.u.

---

[2]
Density functional theory data (PBE) for a geometry-optimized SiTcBr2 structure.

Unit cell a=3.3595 b=3.3595 c=7.2902 alpha=90.00 beta=90.00 gamma=90.00
With the nearest neighbours (Å) after each atom.
Space group P4/mmm (No. 123)
One atom of each set of equivalent atoms:
1 Si 0.0000 0.0000 0.0000 [1 per cell]  8 Br 3.08, 4 Si 3.36
2 Tc 0.0000 0.0000 0.5000 [1 per cell]  8 Br 2.91
3 Br 0.5000 0.5000 0.2693 [2 per cell]  4 Tc 2.91, 4 Si 3.08

## Properties
formation energy (no corrections)	900	meV per atom
spin magnetization	3.08	μB/f.u.
D(E_F)	0.54	states/eV/atom
electronic total energy	-0.285	Ry per atom
volume	82.3	Å³/f.u.

---

[3]
Density functional theory data (PBE) for a geometry-optimized Si2TcBr structure.

Unit cell a=3.0958 b=3.1071 c=7.1153 alpha=90.00 beta=90.00 gamma=90.00
With the nearest neighbours (Å) after each atom.
Space group Pmmm (No. 47)
One atom of each set of equivalent atoms:
1 Si 0.0000 0.0000 0.1866 [2 per cell]  4 Tc 2.56, 1 Si 2.66, 2 Br 2.71
2 Tc 0.5000 0.5000 0.0000 [1 per cell]  8 Si 2.56
3 Br 0.5000 0.0000 0.5000 [1 per cell]  4 Si 2.71

## Properties
formation energy (no corrections)	11	meV per atom
spin magnetization	0.00	μB/f.u.
D(E_F)	0.29	states/eV/atom
electronic total energy	-0.420	Ry per atom
volume	68.4	Å³/f.u.

---

[4]
Density functional theory data (PBE) for a geometry-optimized SiTcBr2 structure.

Unit cell a=3.4047 b=3.4047 c=8.0120 alpha=90.00 beta=90.00 gamma=90.00
With the nearest neighbours (Å) after each atom.
Space group P4mm (No. 99)
One atom of each set of equivalent atoms:
1 Si 0.0000 0.0000 0.0000 [1 per cell]  4 Tc 2.46, 1 Br 2.55
2 Tc 0.5000 0.5000 0.0644 [1 per cell]  4 Si 2.46, 1 Br 2.58
3 Br 0.0000 0.0000 0.3187 [1 per cell]  1 Si 2.55
4 Br 0.5000 0.5000 0.7427 [1 per cell]  1 Tc 2.58

## Properties
formation energy (no corrections)	183	meV per atom
spin magnetization	0.00	μB/f.u.
D(E_F)	1.09	states/eV/atom
electronic total energy	-0.338	Ry per atom
volume	92.9	Å³/f.u.

---

[5]
Density functional theory data (PBE) for a geometry-optimized SiTcBr2 structure.

Unit cell a=8.0997 b=3.2993 c=7.7971 alpha=90.00 beta=96.51 gamma=90.00
With the nearest neighbours (Å) after each atom.
Space group Cm (No. 8)
One atom of each set of equivalent atoms:
1 Si 0.0000 0.0000 0.0000 [2 per cell]  3 Tc 2.34-2.45
2 Tc 0.2765 0.0000 0.9406 [2 per cell]  3 Si 2.34-2.45, 3 Br 2.53-2.57
3 Br 0.2428 0.5000 0.6925 [2 per cell]  2 Tc 2.53
4 Br 0.4034 0.0000 0.2577 [2 per cell]  1 Tc 2.57, 2 Si 2.78

## Properties
formation energy (no corrections)	-37	meV per atom
spin magnetization	0.00	μB/f.u.
D(E_F)	0.22	states/eV/atom
electronic total energy	-0.354	Ry per atom
volume	103.5	Å³/f.u.

---

[6]
Density functional theory data (PBE) for a geometry-optimized Si2TcBr structure.

Unit cell a=6.4727 b=6.4727 c=6.4727 alpha=90.00 beta=90.00 gamma=90.00
With the nearest neighbours (Å) after each atom.
Space group Fm-3m (No. 225)
One atom of each set of equivalent atoms:
1 Si 0.2500 0.2500 0.2500 [8 per cell]  4 Tc 2.80, 4 Br 2.80
2 Tc 0.0000 0.0000 0.0000 [4 per cell]  8 Si 2.80
3 Br 0.0000 0.0000 0.5000 [4 per cell]  8 Si 2.80

## Properties
formation energy (no corrections)	1036	meV per atom
spin magnetization	1.66	μB/f.u.
D(E_F)	0.79	states/eV/atom
electronic total energy	-0.344	Ry per atom
volume	67.8	Å³/f.u.

---

[7]
Density functional theory data (PBE) for a geometry-optimized SiTc2Br structure.

Unit cell a=3.3636 b=4.9929 c=7.8984 alpha=90.00 beta=90.00 gamma=90.00
With the nearest neighbours (Å) after each atom.
Space group Cmmm (No. 65)
One atom of each set of equivalent atoms:
1 Si 0.0000 0.0000 0.0000 [2 per cell]  4 Tc 2.33
2 Tc 0.0000 0.5000 0.2037 [4 per cell]  2 Si 2.33
3 Br 0.0000 0.0000 0.5000 [2 per cell]  4 Tc 2.88, 4 Br 3.01

## Properties
formation energy (no corrections)	491	meV per atom
spin magnetization	0.75	μB/f.u.
D(E_F)	1.27	states/eV/atom
electronic total energy	-0.475	Ry per atom
volume	66.3	Å³/f.u.

---

[8]
Density functional theory data (PBE) for a geometry-optimized Si2TcBr structure.

Unit cell a=3.1413 b=3.1413 c=7.6791 alpha=90.00 beta=90.00 gamma=90.00
With the nearest neighbours (Å) after each atom.
Space group P4mm (No. 99)
One atom of each set of equivalent atoms:
1 Si 0.0000 0.0000 0.0000 [1 per cell]  1 Tc 2.52, 4 Si 2.59
2 Si 0.5000 0.5000 0.1740 [1 per cell]  4 Tc 2.52, 4 Si 2.59
3 Tc 0.0000 0.0000 0.3285 [1 per cell]  5 Si 2.52
4 Br 0.5000 0.5000 0.5728 [1 per cell]  4 Tc 2.91, 1 Si 3.06, 4 Br 3.14

## Properties
formation energy (no corrections)	213	meV per atom
spin magnetization	0.00	μB/f.u.
D(E_F)	0.73	states/eV/atom
electronic total energy	-0.405	Ry per atom
volume	75.8	Å³/f.u.

---

[9]
Density functional theory data (PBE) for a geometry-optimized Si2TcBr structure.

Unit cell a=4.4811 b=4.4811 c=6.3011 alpha=90.00 beta=90.00 gamma=90.00
With the nearest neighbours (Å) after each atom.
Space group I-4m2 (No. 119)
One atom of each set of equivalent atoms:
1 Si 0.0000 0.0000 0.0000 [2 per cell]  4 Br 2.74, 4 Si 2.74
2 Si 0.0000 0.5000 0.2500 [2 per cell]  4 Tc 2.74, 4 Si 2.74
3 Tc 0.0000 0.0000 0.5000 [2 per cell]  4 Br 2.74, 4 Si 2.74
4 Br 0.0000 0.5000 0.7500 [2 per cell]  4 Tc 2.74, 4 Si 2.74

## Properties
formation energy (no corrections)	736	meV per atom
spin magnetization	0.00	μB/f.u.
D(E_F)	0.71	states/eV/atom
electronic total energy	-0.366	Ry per atom
volume	63.3	Å³/f.u.

---

[10]
Density functional theory data (PBE) for a geometry-optimized SiTcBr2 structure.

Unit cell a=4.0694 b=6.2839 c=9.0255 alpha=71.07 beta=79.24 gamma=81.56
With the nearest neighbours (Å) after each atom.
Space group P-1 (No. 2)
One atom of each set of equivalent atoms:
1 Si 0.2126 0.0588 0.0561 [2 per cell]  3 Tc 2.33-2.50, 2 Si 2.47-2.48, 1 Br 2.47
2 Tc 0.3562 0.7312 0.9488 [2 per cell]  3 Si 2.33-2.50, 2 Br 2.48-2.53
3 Br 0.1737 0.0322 0.6905 [2 per cell]  1 Si 2.47, 1 Tc 2.63
4 Br 0.2624 0.4762 0.2247 [2 per cell]  2 Tc 2.48-2.53

## Properties
formation energy (no corrections)	-256	meV per atom
spin magnetization	0.00	μB/f.u.
D(E_F)	0.07	states/eV/atom
electronic total energy	-0.370	Ry per atom
volume	106.8	Å³/f.u.

---

[11]
Density functional theory data (PBE) for a geometry-optimized Si2TcBr structure.

Unit cell a=3.1016 b=3.8213 c=13.0178 alpha=90.00 beta=90.00 gamma=90.00
With the nearest neighbours (Å) after each atom.
Space group Imm2 (No. 44)
One atom of each set of equivalent atoms:
1 Si 0.0000 0.0000 0.0000 [2 per cell]  2 Tc 2.44
2 Si 0.0000 0.5000 0.1510 [2 per cell]  4 Tc 2.46, 2 Si 2.74
3 Tc 0.0000 0.5000 0.6447 [2 per cell]  6 Si 2.44-2.46
4 Br 0.0000 0.0000 0.3619 [2 per cell]  6 Si 3.05-3.35, 2 Br 3.10, 2 Tc 3.23

## Properties
formation energy (no corrections)	239	meV per atom
spin magnetization	0.00	μB/f.u.
D(E_F)	0.46	states/eV/atom
electronic total energy	-0.403	Ry per atom
volume	77.1	Å³/f.u.

---

[12]
Density functional theory data (PBE) for a geometry-optimized SiTcBr2 structure.

Unit cell a=4.3764 b=6.5276 c=8.8372 alpha=71.95 beta=79.77 gamma=89.43
With the nearest neighbours (Å) after each atom.
Space group P1 (No. 1)
One atom of each set of equivalent atoms:
1 Si 0.0000 0.0000 0.0000 [1 per cell]  1 Si 2.29, 1 Tc 2.39, 2 Br 2.42-2.52
2 Si 0.4018 0.8215 0.9018 [1 per cell]  1 Br 2.24, 1 Si 2.29, 2 Tc 2.33-2.42
3 Tc 0.0330 0.5457 0.0906 [1 per cell]  1 Tc 2.23, 1 Si 2.42
4 Tc 0.6068 0.7219 0.1393 [1 per cell]  1 Tc 2.23, 2 Si 2.33-2.39
5 Br 0.1785 0.5083 0.3667 [1 per cell]  2 Tc 2.54-2.57
6 Br 0.2097 0.0924 0.2068 [1 per cell]  1 Si 2.42
7 Br 0.6049 0.9012 0.6378 [1 per cell]  1 Si 2.24
8 Br 0.9268 0.3937 0.8676 [1 per cell]  1 Si 2.52, 1 Tc 2.57

## Properties
formation energy (no corrections)	-141	meV per atom
spin magnetization	0.00	μB/f.u.
electronic total energy	-0.362	Ry per atom
volume	118.0	Å³/f.u.